# 1
DFT (GGA-PBE) results for a relaxed structure of Li2Co2Ir.

a b c (Å): 4.0743 4.0743 14.1915
angles (deg): 90.00 90.00 120.00
Last column: nearest neighbours and their distance in Å.
Space group P6_3/mmc (No. 194)
One atom of each set of equivalent atoms:
Li  0.3333  0.6667  0.1338 x4  1 Co 2.36
Co  0.3333  0.6667  0.5328 x4  1 Li 2.36, 3 Ir 2.40, 3 Co 2.53
Ir  0.0000  0.0000  0.0000 x2  6 Co 2.40

- Mass density: 5.27 g/cm3
- Calculated total energy: -5.09 eV per atom

***

# 2
DFT (GGA-PBE) results for a relaxed structure of Li2Mg2CoSn2Ir.

a b c (Å): 4.4814 4.4814 6.3319
angles (deg): 90.00 90.00 90.00
Last column: nearest neighbours and their distance in Å.
Space group P-4m2 (No. 115)
One atom of each set of equivalent atoms:
Li  0.0000  0.0000  0.0000 x1  4 Sn 2.70, 4 Mg 2.74
Li  0.5000  0.5000  0.5000 x1  4 Mg 2.75, 4 Sn 2.79
Mg  0.0000  0.5000  0.2478 x2  2 Co 2.74, 4 Li 2.74-2.75, 2 Ir 2.75
Co  0.5000  0.5000  0.0000 x1  4 Sn 2.70, 4 Mg 2.74
Sn  0.0000  0.5000  0.7620 x2  2 Co 2.70, 4 Li 2.70-2.79, 2 Ir 2.79
Ir  0.0000  0.0000  0.5000 x1  4 Mg 2.75, 4 Sn 2.79

- Mass density: 7.20 g/cm3
- Calculated total energy: -4.19 eV per atom